# PBE BaAs2, optimized geometry
# * energy of formation from the pure elements: -15.8 kcal/mol of atoms
# * symmetry: C2/m, No. 12
# * final energy: -0.1626 hartree per atom
data_BaAs2
_chemical_formula_sum 'Ba4 As8'
_cell_length_a 10.805
_cell_length_b 4.867
_cell_length_c 8.804
_cell_angle_alpha 90.00
_cell_angle_beta 118.36
_cell_angle_gamma 90.00
_symmetry_space_group_name_H-M 'P 1'
_symmetry_Int_Tables_number 1
loop_
_symmetry_equiv_pos_as_xyz
'x,y,z'
loop_
_atom_site_label
_atom_site_fract_x
_atom_site_fract_y
_atom_site_fract_z
Ba1 0.033 0.000 0.274
Ba2 0.467 0.500 0.726
Ba3 0.533 0.500 0.274
Ba4 0.967 0.000 0.726
As1 0.130 0.500 0.581
As2 0.215 0.500 0.897
As3 0.285 0.000 0.103
As4 0.370 0.000 0.419
As5 0.630 0.000 0.581
As6 0.715 0.000 0.897
As7 0.785 0.500 0.103
As8 0.870 0.500 0.419